# PBE Ce2BeIn, optimized geometry
# ΔH_f (0 K): 0.500 eV/atom
# total magnetic moment: 0.000 μB/atom
# E above lowest polymorph: 12.95 kcal/mol of atoms
# volume: 94.1 Å³/f.u.
# E: -4.0827 eV/atom
data_Ce2BeIn
_cell_length_a 3.0387
_cell_length_b 3.0387
_cell_length_c 11.8954
_cell_angle_alpha 82.66
_cell_angle_beta 82.66
_cell_angle_gamma 60.00
_space_group_name_H-M_alt 'P 1'
_space_group_IT_number 1
loop_
_space_group_symop_operation_xyz
'x,y,z'
loop_
_atom_site_label
_atom_site_fract_x
_atom_site_fract_y
_atom_site_fract_z
Be1 0.0000 0.0000 0.0000
Ce1 0.0844 0.0844 0.7468
Ce2 0.9156 0.9156 0.2532
In1 0.5000 0.5000 0.5000

# PBE Pm5SmAu4, optimized geometry
# ΔH_f (0 K): -0.620 eV/atom
# total magnetic moment: 0.000 μB/atom
# volume: 270.5 Å³/f.u.
# E: -4.7784 eV/atom
data_Pm5SmAu4
_cell_length_a 3.6849
_cell_length_b 3.6849
_cell_length_c 19.9203
_cell_angle_alpha 90.00
_cell_angle_beta 90.00
_cell_angle_gamma 90.00
_space_group_name_H-M_alt 'P 1'
_space_group_IT_number 1
loop_
_space_group_symop_operation_xyz
'x,y,z'
loop_
_atom_site_label
_atom_site_fract_x
_atom_site_fract_y
_atom_site_fract_z
Pm1 0.5000 0.5000 0.1291
Pm2 0.5000 0.5000 0.3134
Pm3 0.5000 0.5000 0.5000
Pm4 0.5000 0.5000 0.6866
Pm5 0.5000 0.5000 0.8709
Sm1 0.0000 0.0000 0.0000
Au1 0.0000 0.0000 0.2192
Au2 0.0000 0.0000 0.4064
Au3 0.0000 0.0000 0.5936
Au4 0.0000 0.0000 0.7808

# PBE RePd8, optimized geometry
# ΔH_f (0 K): 0.124 eV/atom
# total magnetic moment: 0.149 μB/atom
# volume: 139.5 Å³/f.u.
# E: -5.8755 eV/atom
data_RePd8
_cell_length_a 2.8339
_cell_length_b 7.1580
_cell_length_c 7.1580
_cell_angle_alpha 87.75
_cell_angle_beta 78.58
_cell_angle_gamma 78.58
_space_group_name_H-M_alt 'P 1'
_space_group_IT_number 1
loop_
_space_group_symop_operation_xyz
'x,y,z'
loop_
_atom_site_label
_atom_site_fract_x
_atom_site_fract_y
_atom_site_fract_z
Re1 0.0000 0.0000 0.0000
Pd1 0.6621 0.0000 0.6758
Pd2 0.3379 0.0000 0.3242
Pd3 0.0000 0.3340 0.6660
Pd4 0.3379 0.3242 0.0000
Pd5 0.6660 0.3340 0.3340
Pd6 0.6621 0.6758 0.0000
Pd7 0.0000 0.6660 0.3340
Pd8 0.3340 0.6660 0.6660

# PBE KCuIr, optimized geometry
# ΔH_f (0 K): 0.407 eV/atom
# total magnetic moment: 0.000 μB/atom
# E above lowest polymorph: 0.00 kcal/mol of atoms
# volume: 64.4 Å³/f.u.
# E: -4.2781 eV/atom
data_KCuIr
_cell_length_a 6.2642
_cell_length_b 6.2642
_cell_length_c 6.2642
_cell_angle_alpha 155.79
_cell_angle_beta 140.17
_cell_angle_gamma 47.16
_space_group_name_H-M_alt 'P 1'
_space_group_IT_number 1
loop_
_space_group_symop_operation_xyz
'x,y,z'
loop_
_atom_site_label
_atom_site_fract_x
_atom_site_fract_y
_atom_site_fract_z
Cu1 0.0649 0.0649 0.0000
Ir1 0.6058 0.6058 0.0000
K1 0.3294 0.3294 0.0000

# PBE La4MgHg, optimized geometry
# ΔH_f (0 K): -0.191 eV/atom
# total magnetic moment: 0.206 μB/atom
# E above lowest polymorph: 0.00 kcal/mol of atoms
# volume: 197.2 Å³/f.u.
# E: -3.7917 eV/atom
data_La4MgHg
_cell_length_a 3.9297
_cell_length_b 3.9297
_cell_length_c 12.7682
_cell_angle_alpha 90.00
_cell_angle_beta 90.00
_cell_angle_gamma 90.00
_space_group_name_H-M_alt 'P 1'
_space_group_IT_number 1
loop_
_space_group_symop_operation_xyz
'x,y,z'
loop_
_atom_site_label
_atom_site_fract_x
_atom_site_fract_y
_atom_site_fract_z
La1 0.5000 0.5000 0.8442
La2 0.5000 0.5000 0.1558
La3 0.0000 0.0000 0.6494
La4 0.0000 0.0000 0.3506
Mg1 0.0000 0.0000 0.0000
Hg1 0.5000 0.5000 0.5000

# PBE Li2NiAgCl6, optimized geometry
# total magnetic moment: 0.099 μB/atom
# formation energy (no corrections): -978.7 meV per atom
# volume: 201.3 Å³/f.u.
# E: -3.3327 eV/atom
data_Li2NiAgCl6
_cell_length_a 6.3364
_cell_length_b 6.3375
_cell_length_c 6.8393
_cell_angle_alpha 62.53
_cell_angle_beta 62.53
_cell_angle_gamma 59.99
_space_group_name_H-M_alt 'P 1'
_space_group_IT_number 1
loop_
_space_group_symop_operation_xyz
'x,y,z'
loop_
_atom_site_label
_atom_site_fract_x
_atom_site_fract_y
_atom_site_fract_z
Li1 0.5189 0.5194 0.4437
Li2 0.0089 0.0084 0.9744
Ni1 0.3281 0.3279 0.0158
Ag1 0.8213 0.8213 0.5358
Cl1 0.5715 0.2313 0.2424
Cl2 0.2314 0.9545 0.2424
Cl3 0.9545 0.5718 0.2429
Cl4 0.4083 0.7039 0.7726
Cl5 0.7041 0.1146 0.7722
Cl6 0.1148 0.4084 0.7730

# PBE VCu2B2, optimized geometry
# ΔH_f (0 K): 0.468 eV/atom
# total magnetic moment: 0.000 μB/atom
# E above lowest polymorph: 0.61 kcal/mol of atoms
# volume: 48.3 Å³/f.u.
# E: -5.6656 eV/atom
data_VCu2B2
_cell_length_a 6.4502
_cell_length_b 6.4502
_cell_length_c 2.3241
_cell_angle_alpha 90.00
_cell_angle_beta 90.00
_cell_angle_gamma 90.00
_space_group_name_H-M_alt 'P 1'
_space_group_IT_number 1
loop_
_space_group_symop_operation_xyz
'x,y,z'
loop_
_atom_site_label
_atom_site_fract_x
_atom_site_fract_y
_atom_site_fract_z
B1 0.1750 0.6750 0.5000
B2 0.6750 0.8250 0.5000
B3 0.8250 0.3250 0.5000
B4 0.3250 0.1750 0.5000
Cu1 0.3719 0.8719 0.0000
Cu2 0.8719 0.6281 0.0000
Cu3 0.6281 0.1281 0.0000
Cu4 0.1281 0.3719 0.0000
V1 0.0000 0.0000 0.0000
V2 0.5000 0.5000 0.0000

# PBE Ba2Al3AgGe4, optimized geometry
# ΔH_f (0 K): -0.354 eV/atom
# total magnetic moment: 0.000 μB/atom
# volume: 233.3 Å³/f.u.
# E: -3.9931 eV/atom
data_Ba2Al3AgGe4
_cell_length_a 4.7140
_cell_length_b 4.7140
_cell_length_c 10.4972
_cell_angle_alpha 90.00
_cell_angle_beta 90.00
_cell_angle_gamma 90.00
_space_group_name_H-M_alt 'P 1'
_space_group_IT_number 1
loop_
_space_group_symop_operation_xyz
'x,y,z'
loop_
_atom_site_label
_atom_site_fract_x
_atom_site_fract_y
_atom_site_fract_z
Ba1 0.5000 0.0000 0.2488
Ba2 0.0000 0.5000 0.7512
Al1 0.0000 0.0000 0.5000
Al2 0.5000 0.0000 0.8812
Al3 0.0000 0.5000 0.1188
Ag1 0.5000 0.5000 0.5000
Ge1 0.5000 0.5000 0.0000
Ge2 0.0000 0.0000 0.0000
Ge3 0.5000 0.0000 0.6336
Ge4 0.0000 0.5000 0.3664

# PBE La2Zn5Rh4, optimized geometry
# ΔH_f (0 K): -0.486 eV/atom
# total magnetic moment: 0.000 μB/atom
# volume: 206.9 Å³/f.u.
# E: -4.6346 eV/atom
data_La2Zn5Rh4
_cell_length_a 5.2880
_cell_length_b 5.5373
_cell_length_c 8.4656
_cell_angle_alpha 81.42
_cell_angle_beta 71.80
_cell_angle_gamma 61.48
_space_group_name_H-M_alt 'P 1'
_space_group_IT_number 1
loop_
_space_group_symop_operation_xyz
'x,y,z'
loop_
_atom_site_label
_atom_site_fract_x
_atom_site_fract_y
_atom_site_fract_z
La1 0.8552 0.0000 0.2896
La2 0.1448 0.0000 0.7104
Zn1 0.5000 0.0000 0.0000
Zn2 0.0000 0.5000 0.0000
Zn3 0.5000 0.5000 0.0000
Zn4 0.2500 0.5000 0.5000
Zn5 0.7500 0.5000 0.5000
Rh1 0.4773 0.3012 0.7442
Rh2 0.5227 0.6988 0.2558
Rh3 0.2215 0.3012 0.2558
Rh4 0.7785 0.6988 0.7442

# PBE TlCuHg2, optimized geometry
# ΔH_f (0 K): 0.161 eV/atom
# total magnetic moment: 0.000 μB/atom
# volume: 101.6 Å³/f.u.
# E: -1.6058 eV/atom
data_TlCuHg2
_cell_length_a 4.3666
_cell_length_b 4.3666
_cell_length_c 6.6306
_cell_angle_alpha 72.61
_cell_angle_beta 72.61
_cell_angle_gamma 58.84
_space_group_name_H-M_alt 'P 1'
_space_group_IT_number 1
loop_
_space_group_symop_operation_xyz
'x,y,z'
loop_
_atom_site_label
_atom_site_fract_x
_atom_site_fract_y
_atom_site_fract_z
Cu1 0.2500 0.2500 0.2500
Hg1 0.9741 0.9741 0.0734
Hg2 0.5259 0.5259 0.4266
Tl1 0.7500 0.7500 0.7500

# PBE NaHgPO2, optimized geometry
# total magnetic moment: 0.454 μB/atom
# E above lowest polymorph: 0.00 kcal/mol of atoms
# formation energy (no corrections): 438.5 meV per atom
# volume: 96.1 Å³/f.u.
# E: -2.9509 eV/atom
data_NaHgPO2
_cell_length_a 4.3729
_cell_length_b 4.3729
_cell_length_c 5.0267
_cell_angle_alpha 90.00
_cell_angle_beta 90.00
_cell_angle_gamma 90.00
_space_group_name_H-M_alt 'P 1'
_space_group_IT_number 1
loop_
_space_group_symop_operation_xyz
'x,y,z'
loop_
_atom_site_label
_atom_site_fract_x
_atom_site_fract_y
_atom_site_fract_z
P1 0.0000 0.0000 0.5000
Hg1 0.0000 0.0000 0.0000
O1 0.0000 0.5000 0.0000
O2 0.5000 0.0000 0.0000
Na1 0.5000 0.5000 0.5000

# PBE TmMgCd3, optimized geometry
# ΔH_f (0 K): -0.018 eV/atom
# total magnetic moment: 0.000 μB/atom
# E above lowest polymorph: 3.91 kcal/mol of atoms
# volume: 122.0 Å³/f.u.
# E: -1.7807 eV/atom
data_TmMgCd3
_cell_length_a 5.8827
_cell_length_b 6.9197
_cell_length_c 6.9197
_cell_angle_alpha 119.95
_cell_angle_beta 90.00
_cell_angle_gamma 90.00
_space_group_name_H-M_alt 'P 1'
_space_group_IT_number 1
loop_
_space_group_symop_operation_xyz
'x,y,z'
loop_
_atom_site_label
_atom_site_fract_x
_atom_site_fract_y
_atom_site_fract_z
Tm1 0.2500 0.3332 0.6668
Tm2 0.7500 0.6668 0.3332
Mg1 0.0000 0.0000 0.0000
Mg2 0.5000 0.0000 0.0000
Cd1 0.2500 0.8033 0.1967
Cd2 0.7500 0.1967 0.8033
Cd3 0.2500 0.8030 0.6069
Cd4 0.7500 0.1970 0.3931
Cd5 0.2500 0.3931 0.1970
Cd6 0.7500 0.6069 0.8030

# PBE Nd6HoSn4, optimized geometry
# ΔH_f (0 K): -0.353 eV/atom
# total magnetic moment: 0.000 μB/atom
# volume: 390.2 Å³/f.u.
# E: -4.8257 eV/atom
data_Nd6HoSn4
_cell_length_a 8.3021
_cell_length_b 8.3021
_cell_length_c 8.3021
_cell_angle_alpha 86.21
_cell_angle_beta 122.21
_cell_angle_gamma 122.21
_space_group_name_H-M_alt 'P 1'
_space_group_IT_number 1
loop_
_space_group_symop_operation_xyz
'x,y,z'
loop_
_atom_site_label
_atom_site_fract_x
_atom_site_fract_y
_atom_site_fract_z
Nd1 0.0000 0.8235 0.5037
Nd2 0.0000 0.5037 0.8235
Nd3 0.6802 0.1765 0.1765
Nd4 0.5000 0.0000 0.5000
Nd5 0.3198 0.4963 0.4963
Nd6 0.5000 0.5000 0.0000
Ho1 0.0000 0.0000 0.0000
Sn1 0.0000 0.1689 0.6317
Sn2 0.5372 0.3683 0.3683
Sn3 0.0000 0.6317 0.1689
Sn4 0.4628 0.8311 0.8311

# PBE RbGa3Tc, optimized geometry
# ΔH_f (0 K): 0.080 eV/atom
# total magnetic moment: 0.000 μB/atom
# E above lowest polymorph: 5.16 kcal/mol of atoms
# volume: 134.3 Å³/f.u.
# E: -4.0025 eV/atom
data_RbGa3Tc
_cell_length_a 7.1850
_cell_length_b 7.2914
_cell_length_c 10.2556
_cell_angle_alpha 90.00
_cell_angle_beta 90.00
_cell_angle_gamma 90.00
_space_group_name_H-M_alt 'P 1'
_space_group_IT_number 1
loop_
_space_group_symop_operation_xyz
'x,y,z'
loop_
_atom_site_label
_atom_site_fract_x
_atom_site_fract_y
_atom_site_fract_z
Ga1 0.0000 0.9218 0.8626
Ga2 0.5000 0.4218 0.3626
Ga3 0.5000 0.0782 0.3626
Ga4 0.0000 0.4218 0.1374
Ga5 0.0000 0.0782 0.1374
Ga6 0.5000 0.5782 0.6374
Ga7 0.5000 0.9218 0.6374
Ga8 0.0000 0.5782 0.8626
Ga9 0.2500 0.2500 0.7500
Ga10 0.2500 0.7500 0.2500
Ga11 0.7500 0.7500 0.2500
Ga12 0.7500 0.2500 0.7500
Tc1 0.5000 0.2500 0.5915
Tc2 0.0000 0.7500 0.0915
Tc3 0.5000 0.7500 0.4085
Tc4 0.0000 0.2500 0.9085
Rb1 0.0000 0.0000 0.5000
Rb2 0.5000 0.5000 0.0000
Rb3 0.5000 0.0000 0.0000
Rb4 0.0000 0.5000 0.5000

# PBE AcTmSb2, optimized geometry
# total magnetic moment: 0.000 μB/atom
# E above lowest polymorph: 7.84 kcal/mol of atoms
# formation energy (no corrections): -777.4 meV per atom
# volume: 121.7 Å³/f.u.
# E: -4.9836 eV/atom
data_AcTmSb2
_cell_length_a 3.6707
_cell_length_b 5.7586
_cell_length_c 5.7586
_cell_angle_alpha 90.00
_cell_angle_beta 90.00
_cell_angle_gamma 90.00
_space_group_name_H-M_alt 'P 1'
_space_group_IT_number 1
loop_
_space_group_symop_operation_xyz
'x,y,z'
loop_
_atom_site_label
_atom_site_fract_x
_atom_site_fract_y
_atom_site_fract_z
Sb1 0.0000 0.0000 0.5000
Sb2 0.0000 0.5000 0.0000
Ac1 0.5000 0.5000 0.5000
Tm1 0.5000 0.0000 0.0000

# PBE AlBrCl3, optimized geometry
# total magnetic moment: 0.009 μB/atom
# E above lowest polymorph: 0.00 kcal/mol of atoms
# formation energy (no corrections): -1172.3 meV per atom
# volume: 217.0 Å³/f.u.
# E: -3.3634 eV/atom
data_AlBrCl3
_cell_length_a 7.1903
_cell_length_b 10.9023
_cell_length_c 11.0716
_cell_angle_alpha 90.28
_cell_angle_beta 90.00
_cell_angle_gamma 90.00
_space_group_name_H-M_alt 'P 1'
_space_group_IT_number 1
loop_
_space_group_symop_operation_xyz
'x,y,z'
loop_
_atom_site_label
_atom_site_fract_x
_atom_site_fract_y
_atom_site_fract_z
Al1 0.3132 0.5774 0.4938
Al2 0.6868 0.4226 0.5062
Al3 0.8132 0.9226 0.0062
Al4 0.1868 0.0774 0.9938
Br1 0.9288 0.0859 0.5434
Br2 0.0712 0.9141 0.4566
Br3 0.4288 0.4141 0.9566
Br4 0.5712 0.5859 0.0434
Cl1 0.1312 0.5785 0.6412
Cl2 0.8688 0.4215 0.3588
Cl3 0.6312 0.9215 0.8588
Cl4 0.3688 0.0785 0.1412
Cl5 0.6079 0.6174 0.5594
Cl6 0.3921 0.3826 0.4406
Cl7 0.1079 0.8826 0.9406
Cl8 0.8921 0.1174 0.0594
Cl9 0.2601 0.6815 0.3388
Cl10 0.7399 0.3185 0.6612
Cl11 0.7601 0.8185 0.1612
Cl12 0.2399 0.1815 0.8388

# PBE Sm2Tm2Sc3, optimized geometry
# ΔH_f (0 K): 0.147 eV/atom
# total magnetic moment: 0.000 μB/atom
# E above lowest polymorph: 1.06 kcal/mol of atoms
# volume: 204.7 Å³/f.u.
# E: -5.1921 eV/atom
data_Sm2Tm2Sc3
_cell_length_a 3.3887
_cell_length_b 8.2276
_cell_length_c 8.5942
_cell_angle_alpha 118.73
_cell_angle_beta 101.37
_cell_angle_gamma 90.00
_space_group_name_H-M_alt 'P 1'
_space_group_IT_number 1
loop_
_space_group_symop_operation_xyz
'x,y,z'
loop_
_atom_site_label
_atom_site_fract_x
_atom_site_fract_y
_atom_site_fract_z
Sm1 0.5689 0.9067 0.1379
Sm2 0.4311 0.0933 0.8621
Tm1 0.8493 0.6640 0.6986
Tm2 0.1507 0.3360 0.3014
Sc1 0.0000 0.5000 0.0000
Sc2 0.2117 0.8026 0.4233
Sc3 0.7883 0.1974 0.5767

# PBE La2Ir2W, optimized geometry
# ΔH_f (0 K): -0.245 eV/atom
# total magnetic moment: 0.000 μB/atom
# volume: 112.6 Å³/f.u.
# E: -8.3512 eV/atom
data_La2Ir2W
_cell_length_a 6.7948
_cell_length_b 6.7948
_cell_length_c 4.8798
_cell_angle_alpha 90.00
_cell_angle_beta 90.00
_cell_angle_gamma 90.00
_space_group_name_H-M_alt 'P 1'
_space_group_IT_number 1
loop_
_space_group_symop_operation_xyz
'x,y,z'
loop_
_atom_site_label
_atom_site_fract_x
_atom_site_fract_y
_atom_site_fract_z
Ir1 0.3558 0.8558 0.0000
Ir2 0.8558 0.6442 0.0000
Ir3 0.6442 0.1442 0.0000
Ir4 0.1442 0.3558 0.0000
W1 0.0000 0.0000 0.0000
W2 0.5000 0.5000 0.0000
La1 0.1751 0.6751 0.5000
La2 0.6751 0.8249 0.5000
La3 0.8249 0.3249 0.5000
La4 0.3249 0.1751 0.5000

# PBE SrLiCl2, optimized geometry
# total magnetic moment: 0.000 μB/atom
# E above lowest polymorph: 2.91 kcal/mol of atoms
# formation energy (no corrections): -1522.1 meV per atom
# volume: 145.8 Å³/f.u.
# E: -3.3443 eV/atom
data_SrLiCl2
_cell_length_a 7.2071
_cell_length_b 7.2071
_cell_length_c 4.5313
_cell_angle_alpha 51.92
_cell_angle_beta 51.92
_cell_angle_gamma 67.71
_space_group_name_H-M_alt 'P 1'
_space_group_IT_number 1
loop_
_space_group_symop_operation_xyz
'x,y,z'
loop_
_atom_site_label
_atom_site_fract_x
_atom_site_fract_y
_atom_site_fract_z
Cl1 0.0000 0.0000 0.0000
Cl2 0.5000 0.5000 0.0000
Li1 0.5000 0.0000 0.5000
Sr1 0.0000 0.5000 0.5000

# PBE BaTaTl2, optimized geometry
# ΔH_f (0 K): 0.494 eV/atom
# total magnetic moment: 0.068 μB/atom
# volume: 107.2 Å³/f.u.
# E: -4.1333 eV/atom
data_BaTaTl2
_cell_length_a 11.1593
_cell_length_b 11.1593
_cell_length_c 11.1593
_cell_angle_alpha 17.29
_cell_angle_beta 17.29
_cell_angle_gamma 17.29
_space_group_name_H-M_alt 'P 1'
_space_group_IT_number 1
loop_
_space_group_symop_operation_xyz
'x,y,z'
loop_
_atom_site_label
_atom_site_fract_x
_atom_site_fract_y
_atom_site_fract_z
Tl1 0.0095 0.0095 0.0095
Tl2 0.4905 0.4905 0.4905
Ba1 0.2500 0.2500 0.2500
Ta1 0.7500 0.7500 0.7500